Th2Mg3Tl3 | PBE | optimized geometry

M_tot ... 0.000 μB per formula unit
Energy of formation from the pure elements ... -107 meV per atom
Raw total energy ... -3.447 eV per atom
Volume ... 26.9 A^3/atom

Lattice parameters (Å, degrees): 4.839 4.774 9.314 90.00 90.00 90.00
Fractional coordinates of all 8 atoms:
Th1 0.000 0.000 0.747
Th2 0.000 0.000 0.253
Mg1 0.500 0.500 0.756
Mg2 0.500 0.500 0.244
Mg3 0.500 0.000 0.000
Tl1 0.500 0.000 0.500
Tl2 0.000 0.500 0.000
Tl3 0.000 0.500 0.500